Entry 1:
Here is a relaxed TaAlCuOs crystal from the Open Quantum Materials Database. Energies are from PBE-GGA.

## Properties
DFT total energy (hartree per atom): -0.2908
Space group: F-43m, No. 216
ρ (g cm⁻³): 12.997
Calculated volume (Å³/cell): 58.99

The structure in POSCAR format:
```
TaAlCuOs
1.0
-0.211 -4.186 1.236
-3.665 -2.288 -0.652
-0.093 -3.165 -3.011
Al Cu Os Ta
1 1 1 1
direct
0.000 0.000 0.000
0.750 0.750 0.750
0.250 0.250 0.250
0.500 0.500 0.500
```

=====

Entry 2:
Here is a relaxed SmDyTa crystal from the Open Quantum Materials Database. Energies are from PBE-GGA.

## Properties
Formation energy from the elements (kJ per mole of atoms): 127.8
Space group: F-43m, No. 216
ρ (g cm⁻³): 9.162
Calculated volume (Å³/cell): 89.50

The structure in POSCAR format:
```
SmDyTa
1.0
0.000 3.550 3.550
3.550 0.000 3.550
3.550 3.550 0.000
Dy Sm Ta
1 1 1
direct
0.250 0.250 0.250
0.000 0.000 0.000
0.750 0.750 0.750
```

=====

Entry 3:
Here is a relaxed SrLaW crystal from the Open Quantum Materials Database. Energies are from PBE-GGA.

## Properties
DFT total energy (hartree per atom): -0.1935
Space group: F-43m, No. 216
ρ (g cm⁻³): 6.849
Calculated volume (Å³/cell): 99.49

The structure in POSCAR format:
```
SrLaW
1.0
1.237 -4.559 2.176
-1.974 -4.415 -1.913
3.077 -3.341 -2.534
La Sr W
1 1 1
direct
0.250 0.250 0.250
0.750 0.750 0.750
0.000 0.000 0.000
```

=====

Entry 4:
Here is a relaxed ZnHgTeO crystal from the Open Quantum Materials Database. Energies are from PBE-GGA.

## Properties
DFT total energy (hartree per atom): -0.0914
Space group: P4/nmm, No. 129
ρ (g cm⁻³): 7.509
Calculated volume (Å³/cell): 181.15

The structure in POSCAR format:
```
ZnHgTeO
1.0
4.089 0.000 0.000
0.000 4.089 0.000
0.000 0.000 10.834
Hg O Te Zn
2 2 2 2
direct
0.250 0.250 0.408
0.750 0.750 0.592
0.750 0.250 0.500
0.250 0.750 0.500
0.250 0.250 0.147
0.750 0.750 0.853
0.750 0.750 0.120
0.250 0.250 0.880
```

=====

Entry 5:
Here is a relaxed ZrFeCl6 crystal from the Open Quantum Materials Database. Energies are from PBE-GGA.

## Properties
DFT total energy (hartree per atom): -0.1783
Space group: C2/c, No. 15
ρ (g cm⁻³): 2.912
Calculated volume (Å³/cell): 410.39

The structure in POSCAR format:
```
ZrFeCl6
1.0
-3.453 -3.768 -3.704
6.111 -1.252 0.952
-2.827 -6.674 9.434
Cl Fe Zr
12 2 2
direct
0.310 0.332 0.130
0.022 0.690 0.131
0.668 0.978 0.131
0.668 0.690 0.369
0.022 0.332 0.369
0.310 0.978 0.370
0.690 0.022 0.630
0.978 0.668 0.631
0.332 0.310 0.631
0.332 0.022 0.869
0.978 0.310 0.869
0.690 0.668 0.870
0.000 0.000 0.250
0.000 0.000 0.750
0.333 0.666 0.250
0.667 0.334 0.750
```

=====

Entry 6:
Here is a relaxed HoErAl2Ni4 crystal from the Open Quantum Materials Database. Energies are from PBE-GGA.

## Properties
DFT total energy (hartree per atom): -0.2008
Space group: P-6m2, No. 187
ρ (g cm⁻³): 7.937
Calculated volume (Å³/cell): 129.91

The structure in POSCAR format:
```
HoErAl2Ni4
1.0
-2.585 3.021 1.121
1.697 -2.437 2.871
6.785 5.546 0.697
Al Er Ho Ni
2 1 1 4
direct
0.333 0.667 0.251
0.333 0.667 0.749
0.000 0.000 0.500
0.667 0.333 0.000
0.000 0.000 0.186
0.667 0.333 0.316
0.667 0.333 0.684
0.000 0.000 0.814
```

=====

Entry 7:
Here is a relaxed HoCuBi crystal from the Open Quantum Materials Database. Energies are from PBE-GGA.

## Properties
DFT total energy (hartree per atom): -0.1657
Space group: Pnma, No. 62
ρ (g cm⁻³): 10.654
Calculated volume (Å³/cell): 272.74

The structure in POSCAR format:
```
HoCuBi
1.0
-0.284 -4.290 5.764
-1.337 -3.318 -2.536
8.230 -2.312 -1.315
Bi Cu Ho
4 4 4
direct
0.693 0.750 0.088
0.193 0.750 0.412
0.807 0.250 0.588
0.307 0.250 0.912
0.284 0.750 0.100
0.784 0.750 0.400
0.216 0.250 0.600
0.716 0.250 0.900
0.999 0.250 0.184
0.499 0.250 0.316
0.501 0.750 0.684
0.001 0.750 0.816
```

=====

Entry 8:
Here is a relaxed Ta2Ge2W crystal from the Open Quantum Materials Database. Energies are from PBE-GGA.

## Properties
DFT total energy (hartree per atom): -0.3149
Space group: I4/mmm, No. 139
ρ (g cm⁻³): 13.011
Calculated volume (Å³/cell): 88.19

The structure in POSCAR format:
```
Ta2Ge2W
1.0
3.516 1.430 5.169
-0.828 4.714 4.268
-2.921 -4.738 -3.185
Ge Ta W
2 2 1
direct
0.402 0.402 0.000
0.598 0.598 0.000
0.750 0.250 0.500
0.250 0.750 0.500
0.000 0.000 0.000
```